A plane-wave DFT calculation with meta-GGA SCAN was carried out for Sb2SeCl at its PBEsol-relaxed geometry.

Unit cell a=3.545 b=3.545 c=9.026 alpha=78.67 beta=78.67 gamma=60.00
Element x y z (fractional)
Sb 0.245 0.245 0.266
Sb 0.755 0.755 0.734
Se 0.500 0.500 0.500
Cl 0.000 0.000 0.000

Properties
SG	R-3m
excess energy over the best structure of this formula in the dataset	13.5	meV/atom
spin magnetization	0.00	μB/atom
raw total energy	-102.7	eV per formula unit
crystal system	trigonal
volume	23.9	A^3/atom
E_form (uncorrected)	-0.04	eV per atom